Density functional theory data (GGA-PBE) for an optimized crystal structure of NaPt4O8.

The structure in extended XYZ format:
```
13
Lattice="0.961 -4.778 -4.181 1.617 -0.595 6.186 -6.535 0.623 0.212" Properties=species:S:1:pos:R:3 pbc="T T T"
O -0.175 -0.953 2.476
Pt 0.642 -1.338 0.499
O -3.487 -1.637 4.900
Pt 1.936 -4.036 1.506
Na -2.459 0.014 3.199
O -0.469 -3.113 -2.683
Pt -5.355 -3.090 -1.396
Pt 1.398 -1.660 3.613
O -3.782 -3.797 -0.258
O 0.396 -3.388 0.273
O -4.654 -3.460 -3.287
O -4.353 -1.363 1.944
O 0.697 -1.291 5.505
```

energy above the lowest structure with this stoichiometry = 0.0046 eV/atom
E_form (uncorrected) = -0.570 eV/atom
crystal system = monoclinic
DOS(E_F) = 5.50 states/eV/cell
uncorrected energy = -5.581 eV per atom

***

Density functional theory data (GGA-PBE) for an optimized crystal structure of Na2Pt4O9.

The structure in extended XYZ format:
```
30
Lattice="5.315 0.001 0.011 2.657 4.603 0.028 -0.030 -0.072 14.543" Properties=species:S:1:pos:R:3 pbc="T T T"
Pt 2.652 1.522 2.647
O 3.426 2.868 1.125
O 4.514 4.340 13.470
Na -0.025 -0.061 12.333
Na 7.967 4.593 2.249
O 4.434 4.585 3.667
Pt 5.300 3.032 7.521
Pt 2.628 1.464 14.332
Pt 5.314 3.068 0.249
O 3.758 3.041 6.191
O 4.415 1.528 3.652
O 6.075 4.376 6.202
Na 7.962 4.579 5.101
O 1.111 1.527 1.113
O 6.073 1.701 6.189
Pt 5.305 3.046 4.663
O 0.870 1.492 10.917
Pt 5.291 3.011 11.935
O 3.429 0.193 1.112
O 1.867 0.157 8.380
Pt 2.643 1.500 7.061
O 7.072 3.040 3.665
Na -0.019 -0.047 9.481
O 4.517 1.665 13.457
Pt 2.638 1.486 9.918
O 3.528 3.004 10.929
O 3.509 -0.053 10.915
O 6.832 3.005 13.468
O 1.870 2.832 8.393
O 4.185 1.492 8.391
```

E_form (uncorrected) = -0.612 eV/atom
crystal system = trigonal
DOS(E_F) = 3.75 states/eV/cell
uncorrected energy = -5.374 eV per atom

***

> The highest E_form (uncorrected) belongs to which entry?

NaPt4O8

***

Copy entry 2 word for word.
Density functional theory data (GGA-PBE) for an optimized crystal structure of Na2Pt4O9.

The structure in extended XYZ format:
```
30
Lattice="5.315 0.001 0.011 2.657 4.603 0.028 -0.030 -0.072 14.543" Properties=species:S:1:pos:R:3 pbc="T T T"
Pt 2.652 1.522 2.647
O 3.426 2.868 1.125
O 4.514 4.340 13.470
Na -0.025 -0.061 12.333
Na 7.967 4.593 2.249
O 4.434 4.585 3.667
Pt 5.300 3.032 7.521
Pt 2.628 1.464 14.332
Pt 5.314 3.068 0.249
O 3.758 3.041 6.191
O 4.415 1.528 3.652
O 6.075 4.376 6.202
Na 7.962 4.579 5.101
O 1.111 1.527 1.113
O 6.073 1.701 6.189
Pt 5.305 3.046 4.663
O 0.870 1.492 10.917
Pt 5.291 3.011 11.935
O 3.429 0.193 1.112
O 1.867 0.157 8.380
Pt 2.643 1.500 7.061
O 7.072 3.040 3.665
Na -0.019 -0.047 9.481
O 4.517 1.665 13.457
Pt 2.638 1.486 9.918
O 3.528 3.004 10.929
O 3.509 -0.053 10.915
O 6.832 3.005 13.468
O 1.870 2.832 8.393
O 4.185 1.492 8.391
```

E_form (uncorrected) = -0.612 eV/atom
crystal system = trigonal
DOS(E_F) = 3.75 states/eV/cell
uncorrected energy = -5.374 eV per atom

***

> Which of these has the lowest E_form (uncorrected)?

Na2Pt4O9